Computed, not measured: an optimized crystal structure of LaAlPb at the PBEsol level of DFT.

CIF file:
```
data_LaAlPb
_chemical_formula_sum 'La1 Al1 Pb1'
_cell_length_a 4.5717
_cell_length_b 4.5717
_cell_length_c 4.4978
_cell_angle_alpha 90.00
_cell_angle_beta 90.00
_cell_angle_gamma 120.00
_space_group_name_H-M_alt 'P 3 m 1'
_space_group_IT_number 156
loop_
_space_group_symop_operation_xyz
'x,y,z'
'-y,x-y,z'
'-x+y,-x,z'
'-y,-x,z'
'-x+y,y,z'
'x,x-y,z'
loop_
_atom_site_label
_atom_site_type_symbol
_atom_site_fract_x
_atom_site_fract_y
_atom_site_fract_z
La1 La 0.0000 0.0000 0.0000
Al1 Al 0.6667 0.3333 0.3836
Pb1 Pb 0.3333 0.6667 0.5605
```

Values from the calculation:
Uncorrected energy = -14.76 eV per formula unit
Volume = 81.4 Å³ per cell
Energy of formation from the pure elements = -0.44 eV per atom
Magnetic moment = 0.0 Bohr magnetons per cell
Fermi-level density of states = 0.070 states/eV per atom
Density = 7.6 Mg/m³